Entry 1:
Material: Ba2SrAl
Method: DFT, GGA-PBEsol
State: optimized geometry

Unit cell a=4.169 b=4.169 c=10.189 alpha=90.00 beta=90.00 gamma=90.00
Space group P4/mmm (No. 123)
One atom of each set of equivalent atoms:
Ba: 0.000 0.000 0.184 x2
Sr: 0.500 0.500 0.500 x1
Al: 0.500 0.500 0.000 x1

The energy of formation is -42 meV/atom.

Entry 2:
Material: Al3Zn2
Method: DFT, GGA-PBEsol
State: optimized geometry

Unit cell a=9.682 b=13.823 c=4.722 alpha=90.00 beta=90.00 gamma=90.00
Space group Fdd2 (No. 43)
One atom of each set of equivalent atoms:
Al: 0.000 0.000 0.000 x8
Al: 0.001 0.397 0.000 x16
Zn: 0.001 0.299 0.501 x16

The energy of formation is 57 meV/atom.

Entry 3:
Material: LiTi2TlGa
Method: DFT, GGA-PBEsol
State: optimized geometry

Unit cell a=4.455 b=4.455 c=4.325 alpha=90.00 beta=90.00 gamma=90.00
Space group P4/mmm (No. 123)
One atom of each set of equivalent atoms:
Li: 0.000 0.000 0.000 x1
Ti: 0.000 0.500 0.000 x2
Tl: 0.500 0.500 0.500 x1
Ga: 0.000 0.000 0.500 x1

The energy of formation is 476 meV/atom.

Entry 4:
Material: MnCdBr
Method: DFT, GGA-PBEsol
State: optimized geometry

Unit cell a=6.527 b=6.527 c=6.527 alpha=90.00 beta=90.00 gamma=90.00
Space group F-43m (No. 216)
One atom of each set of equivalent atoms:
Mn: 0.000 0.000 0.000 x4
Cd: 0.250 0.250 0.750 x4
Br: 0.250 0.250 0.250 x4

The uncorrected formation energy is 0.5017 eV per atom. The energy above the most stable polymorph in this dataset is 0 meV per atom.

Entry 5:
Material: BeAgCl2
Method: DFT, GGA-PBEsol
State: optimized geometry

Unit cell a=10.728 b=2.971 c=6.676 alpha=90.00 beta=124.36 gamma=90.00
Space group Cm (No. 8)
One atom of each set of equivalent atoms:
Be: 0.000 0.000 0.000 x2
Ag: 0.239 0.500 0.179 x2
Cl: 0.416 0.000 0.729 x2
Cl: 0.475 0.000 0.225 x2

The uncorrected formation energy is -0.4113 eV per atom. The energy above the most stable polymorph in this dataset is 0 meV per atom.

Entry 6:
Material: KSr2Fe
Method: DFT, GGA-PBEsol
State: optimized geometry

Unit cell a=3.803 b=3.803 c=10.894 alpha=90.00 beta=90.00 gamma=90.00
Space group P4/mmm (No. 123)
One atom of each set of equivalent atoms:
K: 0.000 0.000 0.000 x1
Sr: 0.500 0.500 0.335 x2
Fe: 0.000 0.000 0.500 x1

The energy of formation is 514 meV/atom.